1.
VASP calculation (GGA-PBE) on Tb2ZrSe5 after structural relaxation.

a = 5.5212 Å, b = 7.3598 Å, c = 13.3647 Å
α = 90.00°, β = 90.00°, γ = 112.03°
Fractional positions:
Se 0.2627 0.5254 0.7500
Se 0.0480 0.0959 0.3764
Se 0.9520 0.9041 0.6236
Se 0.3141 0.6282 0.0819
Se 0.6859 0.3718 0.9181
Se 0.0480 0.0959 0.1236
Se 0.7373 0.4746 0.2500
Se 0.9520 0.9041 0.8764
Se 0.3141 0.6282 0.4181
Se 0.6859 0.3718 0.5819
Tb 0.8514 0.7027 0.0598
Tb 0.1486 0.2973 0.5598
Tb 0.8514 0.7027 0.4402
Tb 0.1486 0.2973 0.9402
Zr 0.1935 0.3869 0.2500
Zr 0.8065 0.6131 0.7500

Computed properties:
For the energy relative to the elements, uncorrected, the calculation gives -1.589 eV/atom. For the energy above the lowest structure with this stoichiometry, the calculation gives 69 meV/atom. Its space group is Cmcm, No. 63.

---

2.
VASP calculation (GGA-PBE) on CdReNi2 after structural relaxation.

a = 4.8251 Å, b = 4.8251 Å, c = 4.8251 Å
α = 134.34°, β = 134.34°, γ = 66.56°
Last column: magnetic moment on the atom in μB.
Fractional positions:
Cd 0.7500 0.2500 0.5000  0.02
Ni 0.0000 0.0000 0.0000  0.48
Ni 0.2500 0.7500 0.5000  0.36
Re 0.5000 0.5000 0.0000  0.90

Computed properties:
The energy of formation from the pure elements is 519 meV per atom. Its space group is I-4m2, No. 119.

---

3.
VASP calculation (GGA-PBE) on LaTaRe2 after structural relaxation.

a = 2.8863 Å, b = 2.8863 Å, c = 9.8419 Å
α = 90.00°, β = 90.00°, γ = 113.10°
Fractional positions:
La 0.5000 0.5000 0.7624
Re 0.0000 0.0000 0.0318
Re 0.5000 0.5000 0.2442
Ta 0.0000 0.0000 0.4617

Computed properties:
The energy of formation from the pure elements is 433 meV per atom. For the energy above the lowest structure with this stoichiometry, the calculation gives 210 meV/atom. Its space group is Cmm2, No. 35.